The following is a PBE calculation of an optimized crystal structure of TaTlPb, from the Alexandria database.

Values from the calculation:
Offset from the most stable computed form ... 0 meV/atom
Electronic total energy ... -5.432 eV per atom

abc: 3.254 3.254 7.874
angles: 90.00 90.00 120.00
Element x y z (fractional)
Ta (0.000, 0.000, 0.000)
Tl (0.667, 0.333, 0.310)
Pb (0.333, 0.667, 0.686)

---

The following is a PBE calculation of an optimized crystal structure of Li2RuBr, from the Alexandria database.

Values from the calculation:
Offset from the most stable computed form ... 183 meV/atom
Formation energy from raw total energies ... 0.154 eV/atom
Electronic total energy ... -3.540 eV per atom

abc: 5.087 5.087 4.544
angles: 115.75 115.75 35.64
Element x y z (fractional)
Li (0.235, 0.235, 0.236)
Li (0.765, 0.765, 0.764)
Ru (0.000, 0.000, 0.500)
Br (0.500, 0.500, 0.000)

---

The following is a PBE calculation of an optimized crystal structure of Th2Al3Cu12Ag, from the Alexandria database.

Values from the calculation:
Electronic total energy ... -4.207 eV per atom

abc: 9.613 9.613 9.613
angles: 38.56 38.56 38.56
Element x y z (fractional)
Th (0.141, 0.141, 0.141)
Th (0.859, 0.859, 0.859)
Al (0.000, 0.500, 0.500)
Al (0.500, 0.000, 0.500)
Al (0.500, 0.500, 0.000)
Cu (0.052, 0.623, 0.623)
Cu (0.083, 0.083, 0.704)
Cu (0.083, 0.704, 0.083)
Cu (0.296, 0.917, 0.917)
Cu (0.377, 0.377, 0.948)
Cu (0.377, 0.948, 0.377)
Cu (0.623, 0.052, 0.623)
Cu (0.623, 0.623, 0.052)
Cu (0.704, 0.083, 0.083)
Cu (0.917, 0.296, 0.917)
Cu (0.917, 0.917, 0.296)
Cu (0.948, 0.377, 0.377)
Ag (0.500, 0.500, 0.500)

---

The following is a PBE calculation of an optimized crystal structure of Sm2Os, from the Alexandria database.

Values from the calculation:
Electronic total energy ... -6.989 eV per atom

abc: 6.144 6.144 8.205
angles: 122.80 122.80 40.25
Element x y z (fractional)
Sm (0.075, 0.075, 0.355)
Sm (0.312, 0.312, 0.896)
Sm (0.688, 0.688, 0.104)
Sm (0.925, 0.925, 0.645)
Os (0.395, 0.395, 0.320)
Os (0.605, 0.605, 0.680)

---

The following is a PBE calculation of an optimized crystal structure of Sr2AlSi, from the Alexandria database.

Values from the calculation:
Formation energy from raw total energies ... 0.254 eV/atom
Electronic total energy ... -2.878 eV per atom

abc: 7.037 7.037 7.037
angles: 104.27 104.27 120.47
Element x y z (fractional)
Sr (0.103, 0.625, 0.978)
Sr (0.375, 0.353, 0.478)
Sr (0.647, 0.125, 0.022)
Sr (0.875, 0.897, 0.522)
Al (0.250, 0.750, 0.500)
Al (0.500, 0.500, 0.000)
Si (0.000, 0.000, 0.000)
Si (0.750, 0.250, 0.500)

---

The following is a PBE calculation of an optimized crystal structure of Pd7Pt6, from the Alexandria database.

Values from the calculation:
Electronic total energy ... -5.330 eV per atom

abc: 9.382 9.382 9.382
angles: 32.23 32.23 32.23
Element x y z (fractional)
Pd (0.000, 0.000, 0.000)
Pd (0.089, 0.089, 0.584)
Pd (0.089, 0.584, 0.089)
Pd (0.416, 0.911, 0.911)
Pd (0.584, 0.089, 0.089)
Pd (0.911, 0.416, 0.911)
Pd (0.911, 0.911, 0.416)
Pt (0.167, 0.167, 0.167)
Pt (0.347, 0.347, 0.347)
Pt (0.452, 0.452, 0.452)
Pt (0.548, 0.548, 0.548)
Pt (0.653, 0.653, 0.653)
Pt (0.833, 0.833, 0.833)

---

The following is a PBE calculation of an optimized crystal structure of Ti4OsRu, from the Alexandria database.

Values from the calculation:
Electronic total energy ... -8.810 eV per atom

abc: 4.279 4.279 7.328
angles: 106.93 106.93 59.91
Element x y z (fractional)
Ti (0.125, 0.125, 0.375)
Ti (0.375, 0.375, 0.125)
Ti (0.625, 0.625, 0.875)
Ti (0.875, 0.875, 0.625)
Os (0.000, 0.000, 0.000)
Ru (0.500, 0.500, 0.500)

---

The following is a PBE calculation of an optimized crystal structure of V5Re6Mo, from the Alexandria database.

Values from the calculation:
Electronic total energy ... -11.207 eV per atom

abc: 6.830 6.830 6.130
angles: 90.00 90.00 143.10
Element x y z (fractional)
V (0.000, 0.000, 0.000)
V (0.332, 0.668, 0.500)
V (0.333, 0.667, 0.000)
V (0.667, 0.333, 0.000)
V (0.668, 0.332, 0.500)
Re (0.168, 0.832, 0.248)
Re (0.168, 0.832, 0.752)
Re (0.500, 0.500, 0.246)
Re (0.500, 0.500, 0.754)
Re (0.832, 0.168, 0.248)
Re (0.832, 0.168, 0.752)
Mo (0.000, 0.000, 0.500)

---

The following is a PBE calculation of an optimized crystal structure of Rb3CeCr2Se6, from the Alexandria database.

Values from the calculation:
Formation energy from raw total energies ... -1.046 eV/atom
Electronic total energy ... -5.128 eV per atom

abc: 6.974 6.974 8.264
angles: 98.17 98.17 119.98
Element x y z (fractional)
Rb (0.000, 0.000, 0.000)
Rb (0.340, 0.660, 0.000)
Rb (0.660, 0.340, 0.000)
Ce (0.500, 0.500, 0.500)
Cr (0.167, 0.833, 0.500)
Cr (0.833, 0.167, 0.500)
Se (0.076, 0.439, 0.318)
Se (0.197, 0.197, 0.680)
Se (0.439, 0.076, 0.318)
Se (0.561, 0.924, 0.682)
Se (0.803, 0.803, 0.320)
Se (0.924, 0.561, 0.682)

---

The following is a PBE calculation of an optimized crystal structure of CeTi2Ni9, from the Alexandria database.

Values from the calculation:
Electronic total energy ... -6.508 eV per atom

abc: 8.321 8.321 8.321
angles: 33.58 33.58 33.58
Element x y z (fractional)
Ce (0.000, 0.000, 0.000)
Ti (0.144, 0.144, 0.144)
Ti (0.856, 0.856, 0.856)
Ni (0.082, 0.591, 0.591)
Ni (0.334, 0.334, 0.334)
Ni (0.409, 0.409, 0.918)
Ni (0.409, 0.918, 0.409)
Ni (0.500, 0.500, 0.500)
Ni (0.591, 0.082, 0.591)
Ni (0.591, 0.591, 0.082)
Ni (0.666, 0.666, 0.666)
Ni (0.918, 0.409, 0.409)

---

The following is a PBE calculation of an optimized crystal structure of Nd2YTm2, from the Alexandria database.

Values from the calculation:
Offset from the most stable computed form ... 0 meV/atom
Electronic total energy ... -4.957 eV per atom

abc: 3.583 3.583 14.626
angles: 90.04 90.04 60.00
Element x y z (fractional)
Nd (0.168, 0.168, 0.394)
Nd (0.832, 0.832, 0.606)
Y (0.500, 0.500, 0.000)
Tm (0.166, 0.166, 0.805)
Tm (0.834, 0.834, 0.195)

---

The following is a PBE calculation of an optimized crystal structure of Ca2SmBiO6, from the Alexandria database.

Values from the calculation:
Formation energy from raw total energies ... -2.405 eV/atom
Electronic total energy ... -6.640 eV per atom

abc: 6.115 6.115 6.115
angles: 57.37 57.37 57.37
Element x y z (fractional)
Ca (0.000, 0.000, 0.000)
Ca (0.497, 0.497, 0.497)
Sm (0.219, 0.219, 0.219)
Bi (0.711, 0.711, 0.711)
O (0.069, 0.437, 0.832)
O (0.346, 0.909, 0.597)
O (0.437, 0.832, 0.069)
O (0.597, 0.346, 0.909)
O (0.832, 0.069, 0.437)
O (0.909, 0.597, 0.346)

---

| no. | total magnetization (μB per formula unit) |
| --- | --- |
| 1 | 0.00 |
| 2 | 0.34 |
| 3 | 0.00 |
| 4 | 0.00 |
| 5 | 0.00 |
| 6 | 0.00 |
| 7 | 0.00 |
| 8 | 0.00 |
| 9 | 7.00 |
| 10 | 0.00 |
| 11 | 0.00 |
| 12 | 0.00 |